Below is crystalline RbLaMg2Br8 at its relaxed geometry, with properties calculated at the GGA-PBE level.

Computed properties:
space-group type	P-1
final energy	-3.5094	eV/atom
calculated volume	458	Å³/cell

Cell lengths 7.0251, 7.0974, 9.8296 Å; angles 76.38, 78.01, 76.78 degrees
Fractional coordinates of all 12 atoms:
Rb 0.0000 0.0000 0.5000
La 0.0000 0.0000 0.0000
Mg 0.4628 0.4513 0.7048
Mg 0.5372 0.5487 0.2952
Br 0.1813 0.7153 0.2370
Br 0.6989 0.7569 0.0550
Br 0.7638 0.2268 0.2163
Br 0.8187 0.2847 0.7630
Br 0.3011 0.2431 0.9450
Br 0.2362 0.7732 0.7837
Br 0.6305 0.6980 0.4793
Br 0.3695 0.3020 0.5207